Here is a geometry-optimized CuSiPb2 structure from Alexandria. Energies are from PBE.

Geometry as POSCAR:
```
CuSiPb2
1.0
6.065 -0.099 0.050
2.945 5.302 -0.050
-3.883 -3.679 2.860
Pb Si Cu
2 1 1
Direct
0.736 0.236 0.500 Pb
0.031 0.031 0.000 Pb
0.447 0.447 0.000 Si
0.285 0.785 0.500 Cu
```

Computed properties:
Its raw formation energy is 1.34 eV/f.u. The value obtained for the total energy is -15.60 eV per formula unit. Its crystal system is orthorhombic. As for the density of states at the Fermi level: 1.9 states/eV/cell.